# 1
The following is a DFT calculation (SCAN) of a crystal of Cd2HgSe relaxed with PBEsol.

Its formation energy without anion corrections is -172 meV/atom. The calculation puts the polymorph energy (0 for the lowest one) at 0.0 meV per atom.

The structure belongs to space group Imm2 (No. 44); the cell edges are 3.748, 3.983 and 12.375 Å and the angles 90.00°, 90.00° and 90.00°. The distinct sites, in fractional coordinates, are Cd at (0.000, 0.000, 0.000), Cd at (0.000, 0.500, 0.246), Hg at (0.000, 0.500, 0.824) and Se at (0.000, 0.000, 0.570).


# 2
The following is a DFT calculation (SCAN) of a crystal of Cd2HgSe relaxed with PBEsol.

Its formation energy without anion corrections is -62 meV/atom. The calculation puts the polymorph energy (0 for the lowest one) at 109.9 meV per atom.

The structure belongs to space group Cmmm (No. 65); the cell edges are 5.193, 5.223 and 6.373 Å and the angles 90.00°, 90.00° and 90.00°. The distinct sites, in fractional coordinates, are Cd at (0.000, 0.000, 0.244), Hg at (0.000, 0.500, 0.500) and Se at (0.000, 0.500, 0.000).


# 3
The following is a DFT calculation (SCAN) of a crystal of CdHgSe relaxed with PBEsol.

Its formation energy without anion corrections is 101 meV/atom.

The structure belongs to space group P3m1 (No. 156); the cell edges are 5.0597, 5.0597 and 3.0064 Å and the angles 90.00°, 90.00° and 120.00°. The distinct sites, in fractional coordinates, are Cd at (0.0000, 0.0000, 0.0000), Hg at (0.6667, 0.3333, 0.5020) and Se at (0.3333, 0.6667, 0.0037).


# 4
The following is a DFT calculation (SCAN) of a crystal of CdSiHg2 relaxed with PBEsol.

Its formation energy without anion corrections is 368 meV/atom.

The structure belongs to space group Cmmm (No. 65); the cell edges are 2.863, 5.413 and 10.758 Å and the angles 90.00°, 90.00° and 90.00°. The distinct sites, in fractional coordinates, are Cd at (0.000, 0.000, 0.000), Si at (0.000, 0.000, 0.500) and Hg at (0.000, 0.500, 0.259).


# 5
The following is a DFT calculation (SCAN) of a crystal of CdSiHg relaxed with PBEsol.

Its formation energy without anion corrections is 456 meV/atom.

The structure belongs to space group P-6m2 (No. 187); the cell edges are 4.8291, 4.8291 and 2.9566 Å and the angles 90.00°, 90.00° and 120.00°. The distinct sites, in fractional coordinates, are Cd at (0.0000, 0.0000, 0.0000), Si at (0.6667, 0.3333, 0.5000) and Hg at (0.3333, 0.6667, 0.5000).


# 6
The following is a DFT calculation (SCAN) of a crystal of SmCdHg2 relaxed with PBEsol.

The calculation puts the calculated formation energy at -0.547 eV/atom.

The structure belongs to space group Fm-3m (No. 225); the cell edges are 7.127, 7.127 and 7.127 Å and the angles 90.00°, 90.00° and 90.00°. The distinct sites, in fractional coordinates, are Sm at (0.000, 0.000, 0.000), Cd at (0.000, 0.000, 0.500) and Hg at (0.250, 0.250, 0.250).


# 7
The following is a DFT calculation (SCAN) of a crystal of CdSnHg2 relaxed with PBEsol.

The calculation puts the polymorph energy (0 for the lowest one) at 0.0 meV per atom. The calculation puts the calculated formation energy at 0.068 eV/atom.

The structure belongs to space group I-42d (No. 122); the cell edges are 4.286, 4.286 and 21.120 Å and the angles 90.00°, 90.00° and 90.00°. The distinct sites, in fractional coordinates, are Cd at (0.000, 0.000, 0.000), Sn at (0.000, 0.000, 0.500) and Hg at (0.244, 0.250, 0.125).


# 8
The following is a DFT calculation (SCAN) of a crystal of CdSnHg2 relaxed with PBEsol.

The calculation puts the polymorph energy (0 for the lowest one) at 74.3 meV per atom. The calculation puts the calculated formation energy at 0.142 eV/atom.

The structure belongs to space group Fm-3m (No. 225); the cell edges are 7.195, 7.195 and 7.195 Å and the angles 90.00°, 90.00° and 90.00°. The distinct sites, in fractional coordinates, are Cd at (0.000, 0.000, 0.000), Sn at (0.000, 0.000, 0.500) and Hg at (0.250, 0.250, 0.250).


# 9
The following is a DFT calculation (SCAN) of a crystal of SrCdHg relaxed with PBEsol.

The calculation puts the calculated formation energy at -0.453 eV/atom.

The structure belongs to space group I4mm (No. 107); the cell edges are 3.945, 3.945 and 10.428 Å and the angles 90.00°, 90.00° and 90.00°. The distinct sites, in fractional coordinates, are Sr at (0.000, 0.000, 0.000), Cd at (0.000, 0.000, 0.316) and Hg at (0.000, 0.000, 0.678).


# 10
The following is a DFT calculation (SCAN) of a crystal of SrCdHg relaxed with PBEsol.

The calculation puts the calculated formation energy at -0.552 eV/atom.

The structure belongs to space group P-6m2 (No. 187); the cell edges are 4.9748, 4.9748 and 3.8496 Å and the angles 90.00°, 90.00° and 120.00°. The distinct sites, in fractional coordinates, are Sr at (0.0000, 0.0000, 0.0000), Cd at (0.3333, 0.6667, 0.5000) and Hg at (0.6667, 0.3333, 0.5000).


# 11
The following is a DFT calculation (SCAN) of a crystal of SrCd2Hg relaxed with PBEsol.

The calculation puts the calculated formation energy at -0.266 eV/atom.

The structure belongs to space group P4/mmm (No. 123); the cell edges are 3.851, 3.851 and 7.066 Å and the angles 90.00°, 90.00° and 90.00°. The distinct sites, in fractional coordinates, are Sr at (0.000, 0.000, 0.000), Cd at (0.500, 0.500, 0.290) and Hg at (0.000, 0.000, 0.500).


# 12
The following is a DFT calculation (SCAN) of a crystal of SrCd2Hg relaxed with PBEsol.

The calculation puts the calculated formation energy at -0.318 eV/atom.

The structure belongs to space group P4mm (No. 99); the cell edges are 3.667, 3.667 and 7.525 Å and the angles 90.00°, 90.00° and 90.00°. The distinct sites, in fractional coordinates, are Sr at (0.000, 0.000, 0.000), Cd at (0.000, 0.000, 0.505), Cd at (0.500, 0.500, 0.298) and Hg at (0.500, 0.500, 0.726).


# 13
The following is a DFT calculation (SCAN) of a crystal of SrCd2Hg relaxed with PBEsol.

The calculation puts the calculated formation energy at -0.300 eV/atom.

The structure belongs to space group Immm (No. 71); the cell edges are 4.228, 5.184 and 9.475 Å and the angles 90.00°, 90.00° and 90.00°. The distinct sites, in fractional coordinates, are Sr at (0.000, 0.000, 0.000), Cd at (0.000, 0.500, 0.229) and Hg at (0.000, 0.000, 0.500).


# 14
The following is a DFT calculation (SCAN) of a crystal of SrCd2Hg relaxed with PBEsol.

The calculation puts the calculated formation energy at -0.319 eV/atom.

The structure belongs to space group Pm (No. 6); the cell edges are 3.686, 3.851 and 7.214 Å and the angles 90.00°, 90.16° and 90.00°. The distinct sites, in fractional coordinates, are Sr at (0.000, 0.000, 0.000), Cd at (0.001, 0.000, 0.503), Cd at (0.502, 0.500, 0.299) and Hg at (0.499, 0.500, 0.729).


# 15
The following is a DFT calculation (SCAN) of a crystal of SrCd2Hg relaxed with PBEsol.

The calculation puts the calculated formation energy at -0.300 eV/atom.

The structure belongs to space group P4/mmm (No. 123); the cell edges are 4.613, 4.613 and 4.910 Å and the angles 90.00°, 90.00° and 90.00°. The distinct sites, in fractional coordinates, are Sr at (0.000, 0.000, 0.000), Cd at (0.000, 0.500, 0.500) and Hg at (0.500, 0.500, 0.000).


# 16
The following is a DFT calculation (SCAN) of a crystal of Sr2CdHg2 relaxed with PBEsol.

The calculation puts the calculated formation energy at -0.547 eV/atom.

The structure belongs to space group P4/mbm (No. 127); the cell edges are 8.277, 8.277 and 4.337 Å and the angles 90.00°, 90.00° and 90.00°. The distinct sites, in fractional coordinates, are Sr at (0.172, 0.328, 0.000), Cd at (0.000, 0.000, 0.500) and Hg at (0.130, 0.630, 0.500).


# 17
The following is a DFT calculation (SCAN) of a crystal of SrCd2Hg relaxed with PBEsol.

The calculation puts the calculated formation energy at -0.358 eV/atom.

The structure belongs to space group I-4m2 (No. 119); the cell edges are 5.175, 5.175 and 7.349 Å and the angles 90.00°, 90.00° and 90.00°. The distinct sites, in fractional coordinates, are Sr at (0.000, 0.000, 0.000), Cd at (0.000, 0.000, 0.500), Cd at (0.000, 0.500, 0.750) and Hg at (0.000, 0.500, 0.250).


# 18
The following is a DFT calculation (SCAN) of a crystal of SrCd2Hg2 relaxed with PBEsol.

The calculation puts the calculated formation energy at -0.349 eV/atom.

The structure belongs to space group I4/mmm (No. 139); the cell edges are 4.663, 4.663 and 11.991 Å and the angles 90.00°, 90.00° and 90.00°. The distinct sites, in fractional coordinates, are Sr at (0.000, 0.000, 0.000), Cd at (0.000, 0.000, 0.387) and Hg at (0.000, 0.500, 0.250).


# 19
The following is a DFT calculation (SCAN) of a crystal of SrCd2Hg relaxed with PBEsol.

The calculation puts the calculated formation energy at -0.335 eV/atom.

The structure belongs to space group P2/m (No. 10); the cell edges are 3.725, 5.022 and 5.796 Å and the angles 90.00°, 91.04° and 90.00°. The distinct sites, in fractional coordinates, are Sr at (0.000, 0.000, 0.000), Cd at (0.491, 0.500, 0.749) and Hg at (0.500, 0.000, 0.500).


# 20
The following is a DFT calculation (SCAN) of a crystal of Ta3CdHg relaxed with PBEsol.

The calculation puts the calculated formation energy at 2.214 eV/atom.

The structure belongs to space group Pm-3m (No. 221); the cell edges are 4.900, 4.900 and 4.900 Å and the angles 90.00°, 90.00° and 90.00°. The distinct sites, in fractional coordinates, are Ta at (0.000, 0.000, 0.500), Cd at (0.000, 0.000, 0.000) and Hg at (0.500, 0.500, 0.500).


# 21
The following is a DFT calculation (SCAN) of a crystal of CdTc3Hg relaxed with PBEsol.

The calculation puts the calculated formation energy at 2.433 eV/atom.

The structure belongs to space group Pm-3m (No. 221); the cell edges are 4.785, 4.785 and 4.785 Å and the angles 90.00°, 90.00° and 90.00°. The distinct sites, in fractional coordinates, are Cd at (0.000, 0.000, 0.000), Tc at (0.000, 0.000, 0.500) and Hg at (0.500, 0.500, 0.500).


# 22
The following is a DFT calculation (SCAN) of a crystal of CdTcHg2 relaxed with PBEsol.

The calculation puts the calculated formation energy at 0.475 eV/atom.

The structure belongs to space group Immm (No. 71); the cell edges are 2.866, 4.746 and 12.319 Å and the angles 90.00°, 90.00° and 90.00°. The distinct sites, in fractional coordinates, are Cd at (0.000, 0.000, 0.000), Tc at (0.000, 0.000, 0.500) and Hg at (0.000, 0.500, 0.192).


# 23
The following is a DFT calculation (SCAN) of a crystal of CdTc2HgTe relaxed with PBEsol.

Its formation energy without anion corrections is 1452 meV/atom. The calculation puts the polymorph energy (0 for the lowest one) at 0.0 meV per atom.

The structure belongs to space group P4/mmm (No. 123); the cell edges are 4.858, 4.858 and 5.328 Å and the angles 90.00°, 90.00° and 90.00°. The distinct sites, in fractional coordinates, are Cd at (0.000, 0.000, 0.000), Tc at (0.000, 0.500, 0.500), Hg at (0.500, 0.500, 0.000) and Te at (0.500, 0.500, 0.500).


# 24
The following is a DFT calculation (SCAN) of a crystal of CdTc2HgTe relaxed with PBEsol.

Its formation energy without anion corrections is 1594 meV/atom. The calculation puts the polymorph energy (0 for the lowest one) at 141.7 meV per atom.

The structure belongs to space group P4/mmm (No. 123); the cell edges are 5.085, 5.085 and 5.013 Å and the angles 90.00°, 90.00° and 90.00°. The distinct sites, in fractional coordinates, are Cd at (0.000, 0.000, 0.000), Tc at (0.000, 0.500, 0.000), Hg at (0.000, 0.000, 0.500) and Te at (0.500, 0.500, 0.500).


# 25
The following is a DFT calculation (SCAN) of a crystal of TiCdHgW2 relaxed with PBEsol.

The calculation puts the calculated formation energy at 2.371 eV/atom.

The structure belongs to space group P4/mmm (No. 123); the cell edges are 4.919, 4.919 and 4.801 Å and the angles 90.00°, 90.00° and 90.00°. The distinct sites, in fractional coordinates, are Ti at (0.000, 0.000, 0.000), Cd at (0.500, 0.500, 0.000), Hg at (0.000, 0.000, 0.500) and W at (0.000, 0.500, 0.500).


# 26
The following is a DFT calculation (SCAN) of a crystal of TlCd2Hg relaxed with PBEsol.

The calculation puts the polymorph energy (0 for the lowest one) at 15.2 meV per atom. The calculation puts the calculated formation energy at 0.049 eV/atom.

The structure belongs to space group I-4m2 (No. 119); the cell edges are 4.423, 4.423 and 9.544 Å and the angles 90.00°, 90.00° and 90.00°. The distinct sites, in fractional coordinates, are Tl at (0.000, 0.000, 0.000), Cd at (0.000, 0.000, 0.500), Cd at (0.000, 0.500, 0.250) and Hg at (0.000, 0.500, 0.750).


# 27
The following is a DFT calculation (SCAN) of a crystal of TlCd2Hg2 relaxed with PBEsol.

The calculation puts the polymorph energy (0 for the lowest one) at 7.3 meV per atom. The calculation puts the calculated formation energy at 0.014 eV/atom.

The structure belongs to space group I4/mmm (No. 139); the cell edges are 4.254, 4.254 and 13.736 Å and the angles 90.00°, 90.00° and 90.00°. The distinct sites, in fractional coordinates, are Tl at (0.000, 0.000, 0.000), Cd at (0.000, 0.500, 0.250) and Hg at (0.000, 0.000, 0.398).


# 28
The following is a DFT calculation (SCAN) of a crystal of TlCd2Hg relaxed with PBEsol.

The calculation puts the polymorph energy (0 for the lowest one) at 16.8 meV per atom. The calculation puts the calculated formation energy at 0.051 eV/atom.

The structure belongs to space group Cm (No. 8); the cell edges are 10.538, 3.180 and 5.688 Å and the angles 90.00°, 102.24° and 90.00°. The distinct sites, in fractional coordinates, are Tl at (0.000, 0.000, 0.000), Cd at (0.004, 0.500, 0.502), Cd at (0.244, 0.000, 0.748) and Hg at (0.259, 0.500, 0.274).


# 29
The following is a DFT calculation (SCAN) of a crystal of Tl2CdHg relaxed with PBEsol.

The calculation puts the polymorph energy (0 for the lowest one) at 33.3 meV per atom. The calculation puts the calculated formation energy at 0.051 eV/atom.

The structure belongs to space group I4/mmm (No. 139); the cell edges are 4.739, 4.739 and 9.000 Å and the angles 90.00°, 90.00° and 90.00°. The distinct sites, in fractional coordinates, are Tl at (0.000, 0.500, 0.250), Cd at (0.000, 0.000, 0.000) and Hg at (0.000, 0.000, 0.500).


# 30
The following is a DFT calculation (SCAN) of a crystal of Tl2CdHg relaxed with PBEsol.

The calculation puts the polymorph energy (0 for the lowest one) at 34.9 meV per atom. The calculation puts the calculated formation energy at 0.052 eV/atom.

The structure belongs to space group I-4m2 (No. 119); the cell edges are 4.641, 4.641 and 9.360 Å and the angles 90.00°, 90.00° and 90.00°. The distinct sites, in fractional coordinates, are Tl at (0.000, 0.000, 0.000), Tl at (0.000, 0.500, 0.250), Cd at (0.000, 0.000, 0.500) and Hg at (0.000, 0.500, 0.750).